Below is a relaxed Nd2ThGe crystal, with properties calculated at the PBE level.

```
Nd2ThGe
1.0
-0.7588 -3.7329 -2.9258
4.6107 -1.3260 0.4960
-1.1932 -2.7302 3.7928
Ge Th Nd
1 1 2
direct
0.5000 0.5000 0.5000 Ge
0.5000 0.0000 0.0000 Th
0.0000 0.0000 0.5000 Nd
0.0000 0.5000 0.0000 Nd
```

Summary:
uncorrected energy	-22.73	eV/cell
formation enthalpy at 0 K	-1.2	eV/f.u.
SG	No. 123
DOS at the Fermi energy	3.19	states/eV/cell
ΔE to the lowest computed polymorph	0.04	eV/f.u.
calculated density	8.82	g/cm3